A geometry-optimized Tb3PmHo3Te8 structure. Source: Alexandria, functional GGA-PBE.

Cell: 8.6883 8.6883 21.2636 Å, 90.00 90.00 120.00°
With the nearest neighbours (Å) after each atom.
Space group R-3m (No. 166, hexagonal axes)
Asymmetric unit:
Tb (0.0000, 0.5000, 0.0000) [9 per cell]  6 Te 3.08-3.09
Pm (0.0000, 0.0000, 0.5000) [3 per cell]  6 Te 3.20
Ho (0.0000, 0.5000, 0.5000) [9 per cell]  6 Te 3.06
Te (0.0000, 0.0000, 0.2490) [6 per cell]  3 Ho 3.06, 3 Tb 3.08
Te (0.0148, 0.5074, 0.7473) [18 per cell]  2 Ho 3.06, 2 Tb 3.09, 1 Pm 3.20

Results
- E_form (uncorrected) (eV/atom) = -1.37

---

A geometry-optimized Tb3PmHo2Te6 structure. Source: Alexandria, functional GGA-PBE.

Cell: 19.0525 4.3506 8.8018 Å, 90.00 102.91 90.00°
With the nearest neighbours (Å) after each atom.
Space group C2/m (No. 12)
Asymmetric unit:
Tb (0.0000, 0.0000, 0.0000) [2 per cell]  6 Te 3.06-3.13
Tb (0.1618, 0.5000, 0.3333) [4 per cell]  6 Te 3.04-3.13
Pm (0.0000, 0.0000, 0.5000) [2 per cell]  6 Te 3.13-3.17
Ho (0.1643, 0.5000, 0.8299) [4 per cell]  6 Te 3.01-3.10
Te (0.0021, 0.5000, 0.7566) [4 per cell]  1 Ho 3.01, 3 Tb 3.04-3.06, 2 Pm 3.13
Te (0.1686, 0.0000, 0.0820) [4 per cell]  3 Ho 3.10, 3 Tb 3.13
Te (0.1708, 0.0000, 0.5876) [4 per cell]  2 Ho 3.07, 3 Tb 3.10-3.11, 1 Pm 3.17

Results
- E_form (uncorrected) (eV/atom) = -1.31

---

A geometry-optimized Tb2PmHoTe5 structure. Source: Alexandria, functional GGA-PBE.

Cell: 5.5182 5.5182 11.7331 Å, 90.00 90.00 90.00°
With the nearest neighbours (Å) after each atom.
Space group P4/mmm (No. 123)
Asymmetric unit:
Tb (0.0000, 0.0000, 0.1482) [2 per cell]  4 Te 3.26, 1 Tb 3.48
Pm (0.5000, 0.5000, 0.5000) [1 per cell]  2 Te 2.93
Ho (0.5000, 0.5000, 0.0000) [1 per cell]  6 Te 2.76-2.94
Te (0.0000, 0.0000, 0.5000) [1 per cell]  4 Pm 3.90, 2 Tb 4.13
Te (0.0000, 0.5000, 0.0000) [2 per cell]  2 Ho 2.76
Te (0.5000, 0.5000, 0.2502) [2 per cell]  1 Pm 2.93, 1 Ho 2.94

Results
- E_form (uncorrected) (eV/atom) = -0.71

---

A geometry-optimized Tb2PmHoTe6 structure. Source: Alexandria, functional GGA-PBE.

Cell: 7.7536 7.7536 21.1983 Å, 90.00 90.00 120.00°
With the nearest neighbours (Å) after each atom.
Space group R3 (No. 146, hexagonal axes)
Asymmetric unit:
Tb (0.0000, 0.0000, 0.0000) [3 per cell]  6 Te 3.07-3.12
Tb (0.0000, 0.0000, 0.4985) [3 per cell]  6 Te 3.09-3.12
Pm (0.0000, 0.0000, 0.1873) [3 per cell]  6 Te 3.13-3.19
Ho (0.0000, 0.0000, 0.6853) [3 per cell]  6 Te 3.06-3.10
Te (0.0078, 0.6952, 0.5927) [9 per cell]  2 Tb 3.07-3.12, 1 Ho 3.10, 1 Pm 3.13
Te (0.0177, 0.3502, 0.7580) [9 per cell]  1 Ho 3.06, 2 Tb 3.09-3.12, 1 Pm 3.19

Results
- E_form (uncorrected) (eV/atom) = -1.37

---

A geometry-optimized TbPm3Ho3Te8 structure. Source: Alexandria, functional GGA-PBE.

Cell: 8.7547 8.7547 21.5418 Å, 90.00 90.00 120.00°
With the nearest neighbours (Å) after each atom.
Space group R-3m (No. 166, hexagonal axes)
Asymmetric unit:
Tb (0.0000, 0.0000, 0.0000) [3 per cell]  6 Te 3.15
Pm (0.0000, 0.5000, 0.5000) [9 per cell]  6 Te 3.14
Ho (0.0000, 0.5000, 0.0000) [9 per cell]  6 Te 3.06
Te (0.0000, 0.0000, 0.2535) [6 per cell]  3 Ho 3.06, 3 Pm 3.14
Te (0.0105, 0.5052, 0.2509) [18 per cell]  2 Ho 3.06, 2 Pm 3.14, 1 Tb 3.15

Results
- E_form (uncorrected) (eV/atom) = -1.40

---

A geometry-optimized TbPm2Ho3Te6 structure. Source: Alexandria, functional GGA-PBE.

Cell: 19.1667 4.3509 8.8415 Å, 90.00 103.95 90.00°
With the nearest neighbours (Å) after each atom.
Space group C2/m (No. 12)
Asymmetric unit:
Tb (0.0000, 0.0000, 0.0000) [2 per cell]  6 Te 3.09-3.11
Pm (0.1686, 0.5000, 0.3361) [4 per cell]  6 Te 3.13-3.19
Ho (0.0000, 0.0000, 0.5000) [2 per cell]  6 Te 3.04-3.09
Ho (0.1696, 0.5000, 0.8338) [4 per cell]  6 Te 3.05-3.10
Te (0.0030, 0.5000, 0.7495) [4 per cell]  3 Ho 3.09-3.10, 2 Tb 3.11, 1 Pm 3.19
Te (0.1632, 0.0000, 0.5896) [4 per cell]  3 Ho 3.04-3.05, 3 Pm 3.13-3.14
Te (0.1659, 0.0000, 0.0757) [4 per cell]  3 Ho 3.06, 1 Tb 3.09, 2 Pm 3.16

Results
- E_form (uncorrected) (eV/atom) = -1.31

---

A geometry-optimized TbPm2Ho4Th structure. Source: Alexandria, functional GGA-PBE.

Cell: 5.0625 5.0820 9.9822 Å, 90.00 90.00 90.00°
With the nearest neighbours (Å) after each atom.
Space group Pmmm (No. 47)
Asymmetric unit:
Tb (0.0000, 0.0000, 0.0000) [1 per cell]  8 Ho 3.58, 4 Pm 3.59
Pm (0.0000, 0.0000, 0.5000) [1 per cell]  8 Ho 3.53-3.54, 4 Th 3.59
Pm (0.5000, 0.5000, 0.0000) [1 per cell]  8 Ho 3.58-3.59, 4 Tb 3.59
Ho (0.0000, 0.5000, 0.2531) [2 per cell]  2 Th 3.53, 4 Pm 3.54-3.58, 2 Tb 3.58, 4 Ho 3.59
Ho (0.5000, 0.0000, 0.2534) [2 per cell]  4 Pm 3.53-3.59, 2 Th 3.54, 2 Tb 3.58, 4 Ho 3.59
Th (0.5000, 0.5000, 0.5000) [1 per cell]  8 Ho 3.53-3.54, 4 Pm 3.59

Results
- electronic total energy (eV per atom) = -4.9526

---

A geometry-optimized TbPmHo3Th structure. Source: Alexandria, functional GGA-PBE.

Cell: 19.7999 5.6178 6.9843 Å, 90.00 90.77 90.00°
With the nearest neighbours (Å) after each atom.
Space group C2/m (No. 12)
Asymmetric unit:
Tb (0.1497, 0.0000, 0.0333) [4 per cell]  1 Pm 2.98, 2 Ho 3.17-3.28
Pm (0.1460, 0.0000, 0.4592) [4 per cell]  1 Tb 2.98, 2 Ho 3.22-3.29
Ho (0.0224, 0.0000, 0.7532) [4 per cell]  1 Tb 3.17, 2 Th 3.21, 1 Pm 3.22
Ho (0.1595, 0.5000, 0.7568) [4 per cell]  2 Tb 3.42, 2 Pm 3.50, 4 Ho 3.66-3.73
Ho (0.2207, 0.5000, 0.2537) [4 per cell]  1 Th 3.28, 3 Tb 3.28-3.49, 3 Pm 3.29-3.49, 1 Ho 3.66
Th (0.0554, 0.5000, 0.2277) [4 per cell]  3 Ho 3.21-3.28

Results
- electronic total energy (eV per atom) = -4.8712

---

A geometry-optimized Tb4Pm2HoTh structure. Source: Alexandria, functional GGA-PBE.

Cell: 5.9492 5.9492 7.3641 Å, 90.00 90.00 90.00°
With the nearest neighbours (Å) after each atom.
Space group P4/mmm (No. 123)
Asymmetric unit:
Tb (0.0000, 0.5000, 0.2496) [4 per cell]  2 Th 3.50, 4 Pm 3.50, 2 Ho 3.50, 2 Tb 3.68-3.69
Pm (0.0000, 0.0000, 0.0000) [1 per cell]  8 Tb 3.50, 2 Ho 3.68
Pm (0.5000, 0.5000, 0.5000) [1 per cell]  8 Tb 3.50, 2 Th 3.68
Ho (0.0000, 0.0000, 0.5000) [1 per cell]  8 Tb 3.50, 2 Pm 3.68
Th (0.5000, 0.5000, 0.0000) [1 per cell]  8 Tb 3.50, 2 Pm 3.68

Results
- electronic total energy (eV per atom) = -4.8730

---

A geometry-optimized Tb3Pm6Ho2Th structure. Source: Alexandria, functional GGA-PBE.

Cell: 6.2435 10.7997 11.9508 Å, 90.00 100.05 90.00°
With the nearest neighbours (Å) after each atom.
Space group C2/m (No. 12)
Asymmetric unit:
Tb (0.0000, 0.0000, 0.0000) [2 per cell]  6 Tb 3.60, 6 Pm 3.61-3.63
Tb (0.0000, 0.3331, 0.0000) [4 per cell]  6 Tb 3.60-3.61, 6 Pm 3.61-3.62
Pm (0.2465, 0.5000, 0.2515) [4 per cell]  6 Pm 3.57-3.62, 1 Th 3.58, 2 Ho 3.60, 3 Tb 3.61-3.63
Pm (0.2487, 0.3349, 0.7488) [8 per cell]  6 Pm 3.57-3.62, 1 Th 3.58, 2 Ho 3.60, 3 Tb 3.61-3.62
Ho (0.0000, 0.1667, 0.5000) [4 per cell]  6 Pm 3.60, 3 Ho 3.60, 3 Th 3.60
Th (0.0000, 0.5000, 0.5000) [2 per cell]  6 Pm 3.58, 6 Ho 3.60

Results
- electronic total energy (eV per atom) = -4.8852

---

A geometry-optimized TbPm2Ho5Th structure. Source: Alexandria, functional GGA-PBE.

Cell: 5.7041 21.4762 9.7831 Å, 90.00 90.00 90.00°
With the nearest neighbours (Å) after each atom.
Space group Cmc2_1 (No. 36)
Asymmetric unit:
Tb (0.0000, 0.1915, 0.0000) [4 per cell]  2 Pm 3.27-3.46, 5 Ho 3.46-3.50, 2 Th 3.64
Pm (0.0000, 0.1147, 0.6897) [4 per cell]  9 Ho 3.34-3.72, 1 Tb 3.46
Pm (0.0000, 0.1302, 0.3058) [4 per cell]  1 Tb 3.27, 3 Ho 3.36-3.65, 2 Th 3.62
Ho (0.0000, 0.0147, 0.0003) [4 per cell]  3 Pm 3.34-3.72, 2 Th 3.45, 2 Ho 3.61
Ho (0.0000, 0.2706, 0.6892) [4 per cell]  1 Th 3.04, 1 Pm 3.35
Ho (0.0000, 0.3058, 0.3004) [4 per cell]  3 Tb 3.46-3.83, 4 Ho 3.46-3.73, 3 Pm 3.50-3.77, 1 Th 3.56
Ho (0.0000, 0.3972, 0.9764) [4 per cell]  2 Ho 3.32-3.46, 4 Pm 3.36-3.54
Ho (0.0000, 0.4700, 0.2758) [4 per cell]  2 Th 3.23-3.39, 3 Ho 3.32-3.54, 2 Pm 3.49
Th (0.0000, 0.4052, 0.5919) [4 per cell]  3 Ho 3.04-3.39

Results
- electronic total energy (eV per atom) = -4.7747

---

A geometry-optimized TbPm6HoTh2 structure. Source: Alexandria, functional GGA-PBE.

Cell: 9.0091 14.8537 10.4514 Å, 90.00 104.21 90.00°
With the nearest neighbours (Å) after each atom.
Space group C2/c (No. 15)
Asymmetric unit:
Tb (0.0000, 0.0082, 0.2500) [4 per cell]  4 Th 3.27-3.36, 4 Pm 3.52-3.64
Pm (0.0743, 0.1854, 0.9501) [8 per cell]  2 Th 3.44-3.66, 4 Pm 3.50-3.63, 1 Tb 3.52, 1 Ho 3.80
Pm (0.0913, 0.4009, 0.1176) [8 per cell]  3 Th 3.34-3.63, 2 Ho 3.43-3.73, 4 Pm 3.44-3.63
Pm (0.2036, 0.2208, 0.3266) [8 per cell]  6 Pm 3.44-3.86, 1 Ho 3.48, 2 Th 3.49-3.79, 1 Tb 3.64
Ho (0.0000, 0.4019, 0.7500) [4 per cell]  8 Pm 3.43-3.80, 2 Th 3.53
Th (0.2221, 0.0406, 0.5443) [8 per cell]  2 Tb 3.27-3.36, 6 Pm 3.34-3.66, 1 Ho 3.53

Results
- electronic total energy (eV per atom) = -5.1036